! CaCe2Zn PBE relaxed; values from VASP
! **Crystal system**: tetragonal
! **Final energy**: -0.138 hartree per atom
&SYSTEM
  ibrav = 0, nat = 4, ntyp = 3
/
ATOMIC_SPECIES
Zn 65.41 Zn.upf
Ca 40.08 Ca.upf
Ce 140.12 Ce.upf
CELL_PARAMETERS angstrom
3.878 0.000 0.000
0.000 3.878 0.000
0.000 0.000 8.059
ATOMIC_POSITIONS crystal
Zn 0.500 0.500 0.000
Ca 0.500 0.500 0.500
Ce 0.000 0.000 0.825
Ce 0.000 0.000 0.175


! Tb2PrCd PBE relaxed; values from VASP
! **Crystal system**: tetragonal
! **Final energy**: -0.141 hartree per atom
&SYSTEM
  ibrav = 0, nat = 4, ntyp = 3
/
ATOMIC_SPECIES
Pr 140.91 Pr.upf
Tb 158.93 Tb.upf
Cd 112.41 Cd.upf
CELL_PARAMETERS angstrom
-0.207 -4.566 1.807
4.299 -1.043 -2.143
2.375 1.490 4.038
ATOMIC_POSITIONS crystal
Pr 0.500 0.500 0.500
Tb 0.000 0.000 0.500
Tb 0.000 0.500 0.000
Cd 0.500 0.000 0.000


! Pa5Sn PBE relaxed; values from VASP
! **Crystal system**: monoclinic
! **Final energy**: -0.320 hartree per atom
&SYSTEM
  ibrav = 0, nat = 6, ntyp = 2
/
ATOMIC_SPECIES
Pa 231.04 Pa.upf
Sn 118.71 Sn.upf
CELL_PARAMETERS angstrom
-2.508 -3.578 -1.483
1.576 -0.365 5.393
-5.368 3.800 -0.089
ATOMIC_POSITIONS crystal
Pa 0.029 0.059 0.048
Pa 0.694 0.389 0.389
Pa 0.359 0.719 0.730
Pa 0.358 0.717 0.213
Pa 0.030 0.061 0.565
Sn 0.694 0.389 0.889


! IrOsRu2 PBE relaxed; values from VASP
! **Crystal system**: cubic
! **Final energy**: -0.331 hartree per atom
&SYSTEM
  ibrav = 0, nat = 4, ntyp = 3
/
ATOMIC_SPECIES
Ir 192.22 Ir.upf
Os 190.23 Os.upf
Ru 101.07 Ru.upf
CELL_PARAMETERS angstrom
4.361 0.000 0.000
2.180 3.777 0.000
2.180 1.259 3.561
ATOMIC_POSITIONS crystal
Ir 0.500 0.500 0.500
Os 0.750 0.750 0.750
Ru 0.000 0.000 0.000
Ru 0.250 0.250 0.250


! Ho2TeRh PBE relaxed; values from VASP
! **Crystal system**: tetragonal
! **Uncorrected formation energy**: -88.76 kJ per mole of atoms
&SYSTEM
  ibrav = 0, nat = 4, ntyp = 3
/
ATOMIC_SPECIES
Te 127.60 Te.upf
Rh 102.91 Rh.upf
Ho 164.93 Ho.upf
CELL_PARAMETERS angstrom
3.607 0.000 0.000
0.000 3.607 0.000
0.000 0.000 7.262
ATOMIC_POSITIONS crystal
Te 0.500 0.500 0.500
Rh 0.500 0.500 0.000
Ho 0.000 0.000 0.776
Ho 0.000 0.000 0.224


! La3SmTh2P6 PBE relaxed; values from VASP
! **Crystal system**: monoclinic
! **Final energy**: -0.263 hartree per atom
&SYSTEM
  ibrav = 0, nat = 12, ntyp = 4
/
ATOMIC_SPECIES
La 138.91 La.upf
Sm 150.36 Sm.upf
Th 232.04 Th.upf
P 30.97 P.upf
CELL_PARAMETERS angstrom
7.266 -0.003 0.001
-3.634 6.292 0.001
-1.211 -2.096 6.874
ATOMIC_POSITIONS crystal
La 0.166 0.834 0.500
La 0.834 0.166 0.500
La 0.500 0.500 0.500
Sm 0.000 0.000 0.000
Th 0.333 0.667 0.000
Th 0.667 0.333 0.000
P 0.920 0.585 0.760
P 0.745 0.745 0.240
P 0.080 0.415 0.240
P 0.585 0.920 0.760
P 0.255 0.255 0.760
P 0.415 0.080 0.240


! Zn3IrF PBE relaxed; values from VASP
! **Crystal system**: cubic
! **Uncorrected formation energy**: 0.82 kJ per mole of atoms
&SYSTEM
  ibrav = 0, nat = 5, ntyp = 3
/
ATOMIC_SPECIES
Zn 65.41 Zn.upf
Ir 192.22 Ir.upf
F 19.00 F.upf
CELL_PARAMETERS angstrom
4.809 0.000 0.000
0.000 4.809 0.000
0.000 0.000 4.809
ATOMIC_POSITIONS crystal
Zn 0.000 0.500 0.000
Zn 0.000 0.000 0.500
Zn 0.500 0.000 0.000
Ir 0.000 0.000 0.000
F 0.500 0.500 0.500


! K2Mg3ScF12 PBE relaxed; values from VASP
! **Crystal system**: trigonal
! **Uncorrected formation energy**: -314.19 kJ per mole of atoms
&SYSTEM
  ibrav = 0, nat = 18, ntyp = 4
/
ATOMIC_SPECIES
K 39.10 K.upf
Mg 24.30 Mg.upf
Sc 44.96 Sc.upf
F 19.00 F.upf
CELL_PARAMETERS angstrom
-1.803 7.181 -1.067
-7.045 2.389 0.788
-1.990 4.391 5.720
ATOMIC_POSITIONS crystal
K 0.611 0.611 0.611
K 0.389 0.389 0.389
Mg 0.500 0.000 0.000
Mg 0.000 0.500 0.000
Mg 0.000 0.000 0.500
Sc 0.000 0.000 0.000
F 0.322 0.322 0.924
F 0.928 0.928 0.326
F 0.326 0.928 0.928
F 0.924 0.322 0.322
F 0.928 0.326 0.928
F 0.322 0.924 0.322
F 0.678 0.678 0.076
F 0.072 0.072 0.674
F 0.674 0.072 0.072
F 0.076 0.678 0.678
F 0.072 0.674 0.072
F 0.678 0.076 0.678